A plane-wave DFT calculation with PBE-GGA was carried out for a relaxed P2OsSe crystal.

Cell lengths 4.4781, 4.4781, 3.0686 Å; angles 90.00, 90.00, 102.82 degrees
With the nearest neighbours (Å) after each atom.
Sites, in units of the cell vectors:
Se 0.5000 0.0000 0.5000  8 P 2.71, 2 Os 2.79
P 0.5000 0.5000 0.0000  4 Os 2.71, 4 Se 2.71, 2 P 2.79
P 0.0000 0.0000 0.0000  4 Se 2.71, 4 Os 2.71, 2 P 2.79
Os 0.0000 0.5000 0.5000  8 P 2.71, 2 Se 2.79

- Magnetization: 0.00 μB/cell
- Energy relative to the elements, uncorrected: 0.80 eV/atom

***

A plane-wave DFT calculation with PBE-GGA was carried out for a relaxed MgCoRhPb2 crystal.

Cell lengths 5.0046, 4.7315, 5.0046 Å; angles 90.00, 90.00, 90.00 degrees
With the nearest neighbours (Å) after each atom.
Sites, in units of the cell vectors:
Pb 0.0000 0.0000 0.5000  2 Co 2.50
Pb 0.5000 0.0000 0.0000  2 Co 2.50
Co 0.0000 0.0000 0.0000  2 Rh 2.37, 4 Pb 2.50
Mg 0.5000 0.5000 0.5000  8 Pb 3.44, 4 Rh 3.54
Rh 0.0000 0.5000 0.0000  2 Co 2.37

- Magnetization: 2.04 μB/cell
- Total DFT energy (no corrections): -4.206 eV per atom

***

A plane-wave DFT calculation with PBE-GGA was carried out for a relaxed PrCdAgBi crystal.

Cell lengths 5.3379, 5.3379, 5.3379 Å; angles 60.00, 60.00, 60.00 degrees
With the nearest neighbours (Å) after each atom.
Sites, in units of the cell vectors:
Bi 0.0000 0.0000 0.0000  4 Cd 3.27, 4 Pr 3.27
Pr 0.2500 0.2500 0.2500  4 Bi 3.27, 4 Ag 3.27
Cd 0.7500 0.7500 0.7500  4 Bi 3.27, 4 Ag 3.27
Ag 0.5000 0.5000 0.5000  4 Cd 3.27, 4 Pr 3.27

- Magnetization: 0.00 μB/cell
- Total DFT energy (no corrections): -3.348 eV per atom

***

A plane-wave DFT calculation with PBE-GGA was carried out for a relaxed RbReMo2 crystal.

Cell lengths 5.1824, 5.1824, 9.2494 Å; angles 73.73, 73.73, 90.00 degrees
With the nearest neighbours (Å) after each atom.
Sites, in units of the cell vectors:
Rb 0.5000 0.5000 0.0000  8 Mo 3.53-3.65, 4 Re 3.66
Rb 0.2500 0.7500 0.5000  8 Mo 3.53-3.65, 4 Re 3.66
Mo 0.3750 0.1403 0.7500  2 Re 2.49, 2 Mo 2.60
Mo 0.8750 0.1097 0.7500  2 Re 2.49, 2 Mo 2.60
Mo 0.8597 0.1250 0.2500  2 Re 2.49, 2 Mo 2.60
Mo 0.8903 0.6250 0.2500  2 Re 2.49, 2 Mo 2.60
Re 0.0000 0.0000 0.0000  4 Mo 2.49
Re 0.7500 0.2500 0.5000  4 Mo 2.49

- Magnetization: 0.00 μB/cell
- Total DFT energy (no corrections): -6.866 eV per atom

***

A plane-wave DFT calculation with PBE-GGA was carried out for a relaxed Re2SN crystal.

Cell lengths 4.0380, 4.0380, 4.0380 Å; angles 60.00, 60.00, 60.00 degrees
With the nearest neighbours (Å) after each atom.
Sites, in units of the cell vectors:
Re 0.2500 0.2500 0.2500  4 S 2.47, 4 N 2.47
Re 0.7500 0.7500 0.7500  4 N 2.47, 4 S 2.47
S 0.5000 0.5000 0.5000  8 Re 2.47
N 0.0000 0.0000 0.0000  8 Re 2.47

- Magnetization: 0.00 μB/cell
- Energy relative to the elements, uncorrected: 0.84 eV/atom

***

A plane-wave DFT calculation with PBE-GGA was carried out for a relaxed ZnCd2Ge crystal.

Cell lengths 4.1834, 4.1834, 10.2134 Å; angles 78.18, 78.18, 90.00 degrees
With the nearest neighbours (Å) after each atom.
Sites, in units of the cell vectors:
Ge 0.0000 0.0000 0.0000  4 Cd 2.87, 4 Zn 2.96
Ge 0.7500 0.2500 0.5000  4 Cd 2.87, 4 Zn 2.96
Cd 0.8750 0.8684 0.7500  2 Zn 2.85, 2 Ge 2.87, 4 Cd 2.92-3.00
Cd 0.3750 0.3816 0.7500  2 Zn 2.85, 2 Ge 2.87, 4 Cd 2.92-3.00
Cd 0.6184 0.1250 0.2500  2 Zn 2.85, 2 Ge 2.87, 4 Cd 2.92-3.00
Cd 0.1316 0.6250 0.2500  2 Zn 2.85, 2 Ge 2.87, 4 Cd 2.92-3.00
Zn 0.5000 0.5000 0.0000  4 Cd 2.85, 4 Ge 2.96
Zn 0.2500 0.7500 0.5000  4 Cd 2.85, 4 Ge 2.96

- Magnetization: 0.00 μB/cell
- Total DFT energy (no corrections): -1.730 eV per atom